The following is a DFT calculation (GGA-PBE) of an optimized crystal structure of RbY2Ag2Se4.

Summary:
density = 5.776 g/cm3
raw formation energy = -1.07 eV/atom
raw total energy = -43.2 eV per cell

Lattice parameters (Å, degrees): 3.9020 7.9282 8.5112 115.56 90.00 104.25
Sites, in units of the cell vectors:
Se  0.4652  0.9303  0.2912
Se  0.5348  0.0697  0.7088
Y  0.8737  0.7474  0.4457
Se  0.2212  0.4424  0.3071
Y  0.1263  0.2526  0.5543
Rb  0.0000  0.0000  0.0000
Se  0.7788  0.5576  0.6929
Ag  0.3003  0.6007  0.9543
Ag  0.6997  0.3993  0.0457